[1]
A plane-wave DFT calculation with GGA-PBE was carried out for an optimized crystal structure of LiLaPmBi.

Lattice parameters (Å, degrees): 7.7691 7.7691 7.7691 90.00 90.00 90.00
Last column: nearest neighbours and their distance in Å.
Space group F-43m (No. 216)
One atom of each set of equivalent atoms:
1 Li 0.0000 0.0000 0.0000 (multiplicity 4)  4 La 3.36, 4 Pm 3.36
2 La 0.2500 0.2500 0.7500 (multiplicity 4)  4 Bi 3.36, 4 Li 3.36
3 Pm 0.2500 0.2500 0.2500 (multiplicity 4)  4 Li 3.36, 4 Bi 3.36
4 Bi 0.0000 0.0000 0.5000 (multiplicity 4)  4 Pm 3.36, 4 La 3.36

Values from the calculation:
ΔE_f ... -0.400 eV/atom
Calculated volume ... 468.9 Å³ per cell

=====

[2]
A plane-wave DFT calculation with GGA-PBE was carried out for an optimized crystal structure of AlAsIr2.

Lattice parameters (Å, degrees): 2.9042 4.8825 8.6440 90.00 90.00 90.00
Last column: nearest neighbours and their distance in Å.
Space group Immm (No. 71)
One atom of each set of equivalent atoms:
1 Al 0.0000 0.0000 0.0000 (multiplicity 2)  4 Ir 2.53
2 As 0.0000 0.0000 0.5000 (multiplicity 2)  4 Ir 2.68, 4 Al 2.84, 2 As 2.90
3 Ir 0.0000 0.5000 0.2610 (multiplicity 4)  2 Al 2.53, 2 As 2.68

Values from the calculation:
ΔE_f ... -0.050 eV/atom
Calculated volume ... 122.6 Å³ per cell

=====

[3]
A plane-wave DFT calculation with GGA-PBE was carried out for an optimized crystal structure of Pa2Se3F5.

Lattice parameters (Å, degrees): 11.6947 13.9742 5.4136 90.00 90.00 90.00
Last column: nearest neighbours and their distance in Å.
Space group Ibam (No. 72)
One atom of each set of equivalent atoms:
1 Pa 0.1420 0.1630 0.0000 (multiplicity 8)  1 F 2.01
2 Se 0.0000 0.0000 0.2500 (multiplicity 4)  2 Se 2.71
3 Se 0.2394 0.1681 0.5000 (multiplicity 8)  3 Pa 2.74-2.94
4 F 0.0000 0.2220 0.2500 (multiplicity 8)  2 Pa 2.30
5 F 0.0000 0.5000 0.2500 (multiplicity 4)  2 F 2.71
6 F 0.2441 0.4446 0.5000 (multiplicity 8)  1 Pa 2.01

Values from the calculation:
Calculated volume ... 884.7 Å³ per cell
Raw formation energy ... -2.288 eV per atom